The following is a PBE calculation of a relaxed CaSiPd3 crystal, from Alexandria via LeMat-Bulk.

Output
Volume   18.4 Å³/atom
Energy relative to the elements, uncorrected   -0.714 eV/atom
E_tot   -5.314 eV/atom

Unit cell a=5.3710 b=5.8484 c=5.8484 alpha=90.00 beta=90.00 gamma=90.00
Closest atoms and distances in Å follow each position.
Fractional positions:
1 Ca 0.5000 0.5000 0.5000  12 Pd 3.04-3.39, 4 Si 3.26
2 Ca 0.5000 0.0000 0.0000  12 Pd 3.04-3.39, 4 Si 3.26
3 Si 0.7689 0.0000 0.5000  5 Pd 2.27-2.41
4 Si 0.2311 0.5000 0.0000  5 Pd 2.27-2.41
5 Pd 0.0000 0.7500 0.7500  2 Si 2.41
6 Pd 0.0000 0.7500 0.2500  2 Si 2.41
7 Pd 0.0000 0.2500 0.2500  2 Si 2.41
8 Pd 0.6545 0.5000 0.0000  1 Si 2.27
9 Pd 0.0000 0.2500 0.7500  2 Si 2.41
10 Pd 0.3455 0.0000 0.5000  1 Si 2.27

---

The following is a PBE calculation of a relaxed CoSiTc2 crystal, from Alexandria via LeMat-Bulk.

Output
Volume   13.1 Å³/atom
Energy relative to the elements, uncorrected   -0.099 eV/atom
E_tot   -8.415 eV/atom

Unit cell a=2.7568 b=3.6570 c=5.1784 alpha=90.00 beta=90.00 gamma=90.00
Closest atoms and distances in Å follow each position.
Fractional positions:
1 Co 0.0000 0.0000 0.5126  6 Tc 2.52-2.66, 4 Si 2.56, 2 Co 2.76
2 Si 0.5000 0.5000 0.7342  6 Tc 2.48-2.70, 4 Co 2.56, 2 Si 2.76
3 Tc 0.0000 0.0000 0.9983  2 Co 2.52-2.66, 6 Tc 2.65-2.76, 4 Si 2.67
4 Tc 0.5000 0.5000 0.2548  2 Si 2.48-2.70, 6 Tc 2.65-2.76, 4 Co 2.65

---

The following is a PBE calculation of a relaxed Nd2DyCo crystal, from Alexandria via LeMat-Bulk.

Output
Formation energy from the elements   0.31 eV per formula unit
Volume   27.7 Å³/atom
E_tot   -5.233 eV/atom

Unit cell a=3.5320 b=3.5320 c=8.8699 alpha=90.00 beta=90.00 gamma=90.00
Closest atoms and distances in Å follow each position.
Fractional positions:
1 Co 0.5000 0.5000 0.0000  8 Nd 3.02
2 Nd 0.0000 0.0000 0.8090  4 Co 3.02
3 Nd 0.0000 0.0000 0.1910  4 Co 3.02
4 Dy 0.5000 0.5000 0.5000  4 Dy 3.53, 8 Nd 3.71

---

The following is a PBE calculation of a relaxed CaCu2H8Rh3 crystal, from Alexandria via LeMat-Bulk.

Output
Volume   9.0 Å³/atom
E_tot   -4.362 eV/atom

Unit cell a=5.7333 b=5.7333 c=5.5388 alpha=58.83 beta=58.83 gamma=60.00
Closest atoms and distances in Å follow each position.
Fractional positions:
1 Ca 0.8810 0.8810 0.3571  4 H 2.15-2.16
2 Cu 0.1280 0.1280 0.6161  4 H 1.75-1.91
3 Cu 0.4964 0.4964 0.5108  6 H 1.85-1.99
4 H 0.2594 0.2594 0.2218  1 Cu 1.75, 3 Rh 1.91
5 H 0.7199 0.7199 0.8403  3 Rh 1.82
6 H 0.2465 0.2465 0.7881  2 Rh 1.85, 2 Cu 1.91-1.99
7 H 0.7189 0.2465 0.7881  2 Rh 1.85, 2 Cu 1.91-1.99
8 H 0.2465 0.7189 0.7881  2 Rh 1.85, 2 Cu 1.91-1.99
9 H 0.7252 0.3451 0.2045  2 Rh 1.76, 1 Cu 1.85
10 H 0.3451 0.7252 0.2045  2 Rh 1.76, 1 Cu 1.85
11 H 0.7252 0.7252 0.2045  2 Rh 1.76, 1 Cu 1.85
12 Rh 0.4980 0.0046 0.9994  6 H 1.76-1.91
13 Rh 0.0046 0.4980 0.9994  6 H 1.76-1.91
14 Rh 0.4980 0.4980 0.9994  6 H 1.76-1.91

---

The following is a PBE calculation of a relaxed ZrBeIr crystal, from Alexandria via LeMat-Bulk.

Output
Formation energy from the elements   -2.18 eV per formula unit
Volume   15.0 Å³/atom
E_tot   -7.772 eV/atom

Unit cell a=3.8217 b=7.4259 c=6.3476 alpha=90.00 beta=90.00 gamma=90.00
Closest atoms and distances in Å follow each position.
Fractional positions:
1 Zr 0.2500 0.8134 0.5219  5 Be 2.68-2.83, 6 Ir 2.87-2.97
2 Zr 0.7500 0.3134 0.9781  5 Be 2.68-2.83, 6 Ir 2.87-2.97
3 Zr 0.2500 0.6866 0.0219  5 Be 2.68-2.83, 6 Ir 2.87-2.97
4 Zr 0.7500 0.1866 0.4781  5 Be 2.68-2.83, 6 Ir 2.87-2.97
5 Be 0.7500 0.8870 0.2044  4 Ir 2.34-2.51
6 Be 0.7500 0.6130 0.7044  4 Ir 2.34-2.51
7 Be 0.2500 0.1130 0.7956  4 Ir 2.34-2.51
8 Be 0.2500 0.3870 0.2956  4 Ir 2.34-2.51
9 Ir 0.7500 0.5658 0.3281  4 Be 2.34-2.51
10 Ir 0.7500 0.9342 0.8281  4 Be 2.34-2.51
11 Ir 0.2500 0.0658 0.1719  4 Be 2.34-2.51
12 Ir 0.2500 0.4342 0.6719  4 Be 2.34-2.51

---

The following is a PBE calculation of a relaxed CoPtRh2 crystal, from Alexandria via LeMat-Bulk.

Output
Formation energy from the elements   0.07 eV per formula unit
Volume   13.9 Å³/atom
E_tot   -6.945 eV/atom

Unit cell a=8.8592 b=8.8592 c=8.8592 alpha=17.64 beta=17.64 gamma=17.64
Closest atoms and distances in Å follow each position.
Fractional positions:
1 Co 0.5022 0.5022 0.5022  3 Rh 2.56, 3 Pt 2.65, 6 Co 2.72
2 Pt 0.7539 0.7539 0.7539  3 Co 2.65, 6 Pt 2.72, 3 Rh 2.82
3 Rh 0.9976 0.9976 0.9976  9 Rh 2.72, 3 Pt 2.82
4 Rh 0.2463 0.2463 0.2463  3 Co 2.56, 9 Rh 2.72

---

The following is a PBE calculation of a relaxed BaSnIr3 crystal, from Alexandria via LeMat-Bulk.

Output
Formation energy from the elements   4.31 eV per formula unit
Volume   25.1 Å³/atom
E_tot   -5.639 eV/atom

Unit cell a=5.0054 b=5.0054 c=5.0054 alpha=90.00 beta=90.00 gamma=90.00
Closest atoms and distances in Å follow each position.
Fractional positions:
1 Ir 0.0000 0.5000 0.0000  2 Sn 2.50
2 Ir 0.0000 0.0000 0.5000  2 Sn 2.50
3 Ir 0.5000 0.0000 0.0000  2 Sn 2.50
4 Ba 0.5000 0.5000 0.5000  12 Ir 3.54
5 Sn 0.0000 0.0000 0.0000  6 Ir 2.50

---

The following is a PBE calculation of a relaxed Ca2CdRe crystal, from Alexandria via LeMat-Bulk.

Output
Formation energy from the elements   1.83 eV per formula unit
Volume   22.9 Å³/atom
E_tot   -3.885 eV/atom

Unit cell a=3.0410 b=3.0410 c=10.0006 alpha=90.00 beta=90.00 gamma=97.80
Closest atoms and distances in Å follow each position.
Fractional positions:
1 Re 0.5000 0.5000 0.7500  8 Ca 3.03-3.23, 4 Re 3.04
2 Ca 0.0000 0.0000 0.9780  4 Re 3.03-3.23, 4 Ca 3.04, 2 Cd 3.38
3 Ca 0.0000 0.0000 0.5220  4 Re 3.03-3.23, 4 Ca 3.04, 2 Cd 3.38
4 Cd 0.5000 0.5000 0.2500  4 Cd 3.04, 4 Ca 3.38

---

The following is a PBE calculation of a relaxed La6Pm5Y crystal, from Alexandria via LeMat-Bulk.

Output
Formation energy from the elements   0.16 eV per formula unit
Volume   35.5 Å³/atom
E_tot   -4.968 eV/atom

Unit cell a=5.2547 b=11.5568 c=9.7601 alpha=53.70 beta=74.38 gamma=62.95
Closest atoms and distances in Å follow each position.
Fractional positions:
1 La 0.7505 0.0831 0.3329  7 Pm 3.67-3.68, 1 Y 3.67, 4 La 3.71-3.72
2 La 0.2495 0.5839 0.3329  7 Pm 3.67-3.68, 1 Y 3.67, 4 La 3.71-3.72
3 La 0.2500 0.2499 0.0000  6 Pm 3.67-3.68, 2 Y 3.68, 4 La 3.71
4 La 0.7500 0.7501 0.0000  6 Pm 3.67-3.68, 2 Y 3.68, 4 La 3.71
5 La 0.7505 0.4161 0.6671  7 Pm 3.67-3.68, 1 Y 3.67, 4 La 3.71-3.72
6 La 0.2495 0.9169 0.6671  7 Pm 3.67-3.68, 1 Y 3.67, 4 La 3.71-3.72
7 Pm 0.5000 0.1664 0.6672  8 La 3.67-3.68, 2 Y 3.71, 2 Pm 3.71
8 Pm 0.0000 0.3328 0.3344  8 La 3.67-3.68, 4 Pm 3.71-3.72
9 Pm 0.5000 0.5000 0.0000  8 La 3.67-3.68, 4 Pm 3.72
10 Pm 0.0000 0.6672 0.6656  8 La 3.67-3.68, 4 Pm 3.71-3.72
11 Pm 0.5000 0.8336 0.3328  8 La 3.67-3.68, 2 Y 3.71, 2 Pm 3.71
12 Y 0.0000 0.0000 0.0000  8 La 3.67-3.68, 4 Pm 3.71

---

The following is a PBE calculation of a relaxed TlCdHg4 crystal, from Alexandria via LeMat-Bulk.

Output
Formation energy from the elements   0.21 eV per formula unit
Volume   28.7 Å³/atom
E_tot   -0.713 eV/atom

Unit cell a=5.4540 b=8.2981 c=8.0817 alpha=90.00 beta=109.72 gamma=90.00
Closest atoms and distances in Å follow each position.
Fractional positions:
1 Tl 0.3697 0.7500 0.7394  5 Hg 3.10-3.38, 1 Cd 3.42
2 Tl 0.6303 0.2500 0.2606  5 Hg 3.10-3.38, 1 Cd 3.42
3 Cd 0.1451 0.7500 0.2901  6 Hg 2.92-3.03
4 Cd 0.8549 0.2500 0.7099  6 Hg 2.92-3.03
5 Hg 0.2202 0.4260 0.4404  3 Hg 2.92-3.13, 1 Cd 2.92
6 Hg 0.7798 0.5740 0.5596  3 Hg 2.92-3.13, 1 Cd 2.92
7 Hg 0.2202 0.0740 0.4404  3 Hg 2.92-3.13, 1 Cd 2.92
8 Hg 0.7798 0.9260 0.5596  3 Hg 2.92-3.13, 1 Cd 2.92
9 Hg 0.5735 0.7500 0.1469  2 Cd 2.94, 1 Tl 3.10
10 Hg 0.4265 0.2500 0.8531  2 Cd 2.94, 1 Tl 3.10
11 Hg 0.0000 0.5000 0.0000  2 Cd 3.03
12 Hg 0.0000 0.0000 0.0000  2 Cd 3.03

---

The following is a PBE calculation of a relaxed Sm4Hg5Pt2 crystal, from Alexandria via LeMat-Bulk.

Output
Formation energy from the elements   -7.46 eV per formula unit
Volume   25.5 Å³/atom
E_tot   -3.630 eV/atom

Unit cell a=3.7001 b=7.7829 c=9.7537 alpha=93.88 beta=90.00 gamma=90.00
Closest atoms and distances in Å follow each position.
Fractional positions:
1 Sm 0.5000 0.7717 0.5612  4 Pt 2.99-3.04, 2 Hg 3.32
2 Sm 0.5000 0.1791 0.8541  2 Pt 2.89
3 Sm 0.5000 0.2283 0.4388  4 Pt 2.99-3.04, 2 Hg 3.32
4 Sm 0.5000 0.8209 0.1459  2 Pt 2.89
5 Hg 0.0000 0.5437 0.3257  1 Pt 2.98, 2 Hg 3.17-3.30, 2 Sm 3.32
6 Hg 0.0000 0.1709 0.1421  1 Pt 2.97, 2 Hg 2.99-3.30, 2 Sm 3.30
7 Hg 0.0000 0.5000 0.0000  4 Hg 2.99-3.17, 4 Sm 3.35
8 Hg 0.0000 0.8291 0.8579  1 Pt 2.97, 2 Hg 2.99-3.30, 2 Sm 3.30
9 Hg 0.0000 0.4563 0.6743  1 Pt 2.98, 2 Hg 3.17-3.30, 2 Sm 3.32
10 Pt 0.0000 0.0733 0.6371  1 Pt 2.84, 6 Sm 2.89-3.04, 2 Hg 2.97-2.98
11 Pt 0.0000 0.9267 0.3629  1 Pt 2.84, 6 Sm 2.89-3.04, 2 Hg 2.97-2.98

---

The following is a PBE calculation of a relaxed Rb4LaTm3Se8 crystal, from Alexandria via LeMat-Bulk.

Output
Volume   31.5 Å³/atom
Energy relative to the elements, uncorrected   -1.738 eV/atom
E_tot   -4.869 eV/atom

Unit cell a=8.5270 b=9.3871 c=8.5270 alpha=117.02 beta=120.00 gamma=90.00
Closest atoms and distances in Å follow each position.
Fractional positions:
1 Rb 0.5000 0.0000 0.0000  6 Se 3.39
2 Rb 0.5000 0.0000 0.5000  6 Se 3.48-3.49
3 Rb 0.0000 0.0000 0.0000  6 Se 3.48-3.49
4 Rb 0.0000 0.0000 0.5000  6 Se 3.48-3.49
5 La 0.0000 0.5000 0.0000  6 Se 3.00
6 Tm 0.5000 0.5000 0.0000  6 Se 2.88-2.90
7 Tm 0.5000 0.5000 0.5000  6 Se 2.88-2.90
8 Tm 0.0000 0.5000 0.5000  6 Se 2.88-2.90
9 Se 0.2386 0.6961 0.9576  2 Tm 2.88, 1 La 3.00
10 Se 0.2386 0.6961 0.4772  2 Tm 2.88, 1 La 3.00
11 Se 0.2693 0.3079 0.5385  3 Tm 2.90
12 Se 0.7190 0.6961 0.9576  2 Tm 2.88, 1 La 3.00
13 Se 0.2810 0.3039 0.0424  2 Tm 2.88, 1 La 3.00
14 Se 0.7307 0.6921 0.4615  3 Tm 2.90
15 Se 0.7614 0.3039 0.5228  2 Tm 2.88, 1 La 3.00
16 Se 0.7614 0.3039 0.0424  2 Tm 2.88, 1 La 3.00

---

Among the records above, which one has the lowest volume?
CaCu2H8Rh3

---

What is the formula in the fourth record?
CaCu2H8Rh3